Record 1
Ac5RhS4: optimized geometry, GGA-PBE.

Calculated values
ρ	7.9	Mg/m³
total magnetic moment	0.00	μB/f.u.
ΔE_f (raw)	-1.73	eV per atom
N(E_F)	5.29	states/eV/cell

```
Ac5RhS4
1.0
-2.1606 2.1606 15.2983
2.1606 -2.1606 15.2983
2.1606 2.1606 -15.2983
Ac Rh S
5 1 4
Cartesian
0.0000 0.0000 0.0000 Ac
0.0000 0.0000 6.1898 Ac
0.0000 0.0000 12.3019 Ac
0.0000 0.0000 18.2947 Ac
0.0000 0.0000 24.4068 Ac
0.0000 0.0000 15.2983 Rh
0.0000 0.0000 3.1333 S
0.0000 0.0000 9.2518 S
0.0000 0.0000 21.3448 S
0.0000 0.0000 27.4633 S
```

---

Record 2
AcRhS: optimized geometry, GGA-PBE.

Calculated values
ρ	9.3	Mg/m³
total magnetic moment	0.00	μB/f.u.
ΔE_f (raw)	-1.28	eV per atom
N(E_F)	0.38	states/eV/cell

```
AcRhS
1.0
4.3300 0.0000 0.0000
-2.1650 3.7499 0.0000
0.0000 0.0000 3.9894
Ac Rh S
1 1 1
Cartesian
0.0000 0.0000 0.0000 Ac
2.1650 1.2500 1.9895 Rh
0.0000 2.4999 1.9991 S
```

---

Record 3
AcRhS: optimized geometry, GGA-PBE.

Calculated values
ρ	8.9	Mg/m³
total magnetic moment	0.00	μB/f.u.
ΔE_f (raw)	-0.54	eV per atom
N(E_F)	3.93	states/eV/cell

```
AcRhS
1.0
-1.8415 1.8415 4.9749
1.8415 -1.8415 4.9749
1.8415 1.8415 -4.9749
Ac Rh S
1 1 1
Cartesian
0.0000 0.0000 0.0000 Ac
0.0000 0.0000 7.0345 Rh
0.0000 0.0000 2.8361 S
```

---

Record 4
Ac6Rh3S: optimized geometry, GGA-PBE.

Calculated values
ρ	8.7	Mg/m³
total magnetic moment	0.00	μB/f.u.
ΔE_f (raw)	-0.80	eV per atom
N(E_F)	14.81	states/eV/cell

```
Ac6Rh3S
1.0
7.2472 0.0000 0.0000
0.0000 7.9719 0.0000
-7.1760 0.0000 11.2368
Ac Rh S
12 6 2
Cartesian
-1.1444 0.5079 2.7727 Ac
-4.7324 3.4781 8.3911 Ac
1.1982 5.4276 0.9251 Ac
-2.3898 6.5303 6.5435 Ac
2.3738 1.3662 0.8876 Ac
-1.2142 2.6197 6.5060 Ac
1.2854 5.3522 4.7308 Ac
-2.3026 6.6057 10.3492 Ac
2.4610 1.4416 4.6933 Ac
-1.1270 2.5443 10.3117 Ac
4.8036 4.4938 2.8457 Ac
1.2156 7.4640 8.4641 Ac
0.0000 0.0000 0.0000 Rh
-3.5880 3.9859 5.6184 Rh
-3.2415 0.8490 8.4160 Rh
0.3465 3.1370 2.7976 Rh
-0.2753 4.8349 8.4392 Rh
3.3127 7.1229 2.8208 Rh
0.0356 0.0000 5.6184 S
3.6236 3.9859 0.0000 S
```

---

Record 5
AcSbRhS: optimized geometry, GGA-PBE.

Calculated values
ρ	7.8	Mg/m³
total magnetic moment	0.00	μB/f.u.
ΔE_f (raw)	-1.20	eV per atom
N(E_F)	4.21	states/eV/cell

```
AcSbRhS
1.0
4.8069 0.0000 0.0000
0.0000 4.8069 0.0000
0.0000 0.0000 8.9343
Ac Sb Rh S
2 2 2 2
Cartesian
1.2017 1.2017 1.6002 Ac
3.6052 3.6052 7.3341 Ac
1.2017 1.2017 5.6202 Sb
3.6052 3.6052 3.3140 Sb
1.2017 3.6052 4.4671 Rh
3.6052 1.2017 4.4671 Rh
1.2017 3.6052 0.0000 S
3.6052 1.2017 0.0000 S
```

---

Record 6
Ac2ScRhS6: optimized geometry, GGA-PBE.

Calculated values
ρ	5.9	Mg/m³
total magnetic moment	0.00	μB/f.u.
ΔE_f (raw)	-1.62	eV per atom

```
Ac2ScRhS6
1.0
3.5121 2.0277 5.2066
-3.5121 2.0277 5.2066
0.0000 -4.0554 5.2066
Ac Sc Rh S
2 1 1 6
Cartesian
0.0000 0.0000 3.7932 Ac
0.0000 0.0000 11.8266 Ac
0.0000 0.0000 7.8099 Sc
0.0000 0.0000 0.0000 Rh
-0.5606 -2.0973 6.4795 S
-2.0966 -0.5631 9.1403 S
-1.5360 1.5342 6.4795 S
1.5360 -1.5342 9.1403 S
2.0966 0.5631 6.4795 S
0.5606 2.0973 9.1403 S
```

---

Record 7
Ac4RhSeS2: optimized geometry, GGA-PBE.

Calculated values
ρ	8.0	Mg/m³
total magnetic moment	0.00	μB/f.u.
ΔE_f (raw)	-1.60	eV per atom
N(E_F)	5.81	states/eV/cell

```
Ac4RhSeS2
1.0
7.6099 0.0000 0.0000
0.0000 4.3069 0.0000
-2.4914 0.0000 7.3064
Ac Rh Se S
4 1 1 2
Cartesian
1.2521 0.0000 1.7152 Ac
0.0517 2.1534 5.5540 Ac
5.0669 2.1534 1.7524 Ac
3.8665 0.0000 5.5912 Ac
0.0000 2.1534 0.0000 Rh
-1.2457 0.0000 3.6532 Se
3.8050 0.0000 0.0000 S
2.5593 2.1534 3.6532 S
```

---

Record 8
Ac6Rh2SeS3: optimized geometry, GGA-PBE.

Calculated values
ρ	8.0	Mg/m³
total magnetic moment	0.00	μB/f.u.
ΔE_f (raw)	-1.52	eV per atom
N(E_F)	5.57	states/eV/cell

```
Ac6Rh2SeS3
1.0
9.6313 -2.1472 0.0000
9.6313 2.1472 0.0000
-2.3316 0.0000 8.6971
Ac Rh Se S
6 2 1 3
Cartesian
-0.4835 0.0000 2.2828 Ac
4.2171 0.0000 7.8001 Ac
5.3440 0.0000 3.6925 Ac
11.5870 0.0000 5.0046 Ac
12.7139 0.0000 0.8970 Ac
17.4145 0.0000 6.4144 Ac
2.4613 0.0000 2.9084 Rh
14.4698 0.0000 5.7887 Rh
9.6313 0.0000 0.0000 Se
1.1001 0.0000 7.2979 S
8.4655 0.0000 4.3486 S
15.8309 0.0000 1.3992 S
```

---

Record 9
Ac8Rh3Se4S: optimized geometry, GGA-PBE.

Calculated values
ρ	8.2	Mg/m³
total magnetic moment	0.00	μB/f.u.
ΔE_f (raw)	-1.42	eV per atom
N(E_F)	10.51	states/eV/cell

```
Ac8Rh3Se4S
1.0
4.3565 2.5152 7.6102
-4.3565 2.5152 7.6102
0.0000 -5.0304 7.6102
Ac Rh Se S
8 3 4 1
Cartesian
-2.2348 -1.2902 13.1398 Ac
0.0000 0.0000 5.5197 Ac
0.0000 -2.5805 9.6909 Ac
-2.2348 1.2902 9.6909 Ac
2.2348 -1.2902 13.1398 Ac
0.0000 2.5805 13.1398 Ac
0.0000 0.0000 17.3110 Ac
2.2348 1.2902 9.6909 Ac
-4.3565 0.0000 11.4154 Rh
-2.1782 1.2576 3.8051 Rh
2.1782 1.2576 3.8051 Rh
0.0000 0.0000 0.0000 Se
-2.1782 -1.2576 7.6102 Se
-2.1782 1.2576 15.2205 Se
0.0000 2.5152 7.6102 Se
0.0000 0.0000 11.4154 S
```

---

Record 10
Ac8Rh3SeS4: optimized geometry, GGA-PBE.

Calculated values
ρ	8.1	Mg/m³
total magnetic moment	0.00	μB/f.u.
ΔE_f (raw)	-1.43	eV per atom
N(E_F)	12.03	states/eV/cell

```
Ac8Rh3SeS4
1.0
4.3243 2.4966 7.4189
-4.3243 2.4966 7.4189
0.0000 -4.9933 7.4189
Ac Rh Se S
8 3 1 4
Cartesian
-2.2388 -1.2926 12.9087 Ac
0.0000 0.0000 5.4560 Ac
0.0000 -2.5852 9.3481 Ac
-2.2388 1.2926 9.3481 Ac
2.2388 -1.2926 12.9087 Ac
0.0000 2.5852 12.9087 Ac
0.0000 0.0000 16.8007 Ac
2.2388 1.2926 9.3481 Ac
-4.3243 0.0000 11.1284 Rh
-2.1621 1.2483 3.7094 Rh
2.1621 1.2483 3.7095 Rh
0.0000 0.0000 11.1284 Se
0.0000 0.0000 0.0000 S
-2.1621 -1.2483 7.4189 S
-2.1621 1.2483 14.8378 S
0.0000 2.4966 7.4189 S
```

---

Record 11
Ac6Te3Rh2S: optimized geometry, GGA-PBE.

Calculated values
ρ	8.1	Mg/m³
total magnetic moment	0.00	μB/f.u.
ΔE_f (raw)	-1.32	eV per atom
N(E_F)	8.19	states/eV/cell

```
Ac6Te3Rh2S
1.0
3.8706 -6.6915 0.0000
3.8706 6.6915 0.0000
-2.6140 0.0000 7.8908
Ac Te Rh S
6 3 2 1
Cartesian
-0.0588 2.3149 6.2098 Ac
1.1821 0.0000 1.6807 Ac
-0.0588 -2.3149 6.2098 Ac
5.1860 2.3149 1.6809 Ac
3.9451 0.0000 6.2101 Ac
5.1860 -2.3149 1.6809 Ac
-1.3070 0.0000 3.9454 Te
2.5636 2.1730 3.9454 Te
2.5636 -2.1730 3.9454 Te
3.8706 4.4477 0.0000 Rh
3.8706 -4.4477 0.0000 Rh
3.8706 0.0000 0.0000 S
```

---

Record 12
Ac8Te4RhS3: optimized geometry, GGA-PBE.

Calculated values
ρ	7.9	Mg/m³
total magnetic moment	0.00	μB/f.u.
ΔE_f (raw)	-1.58	eV per atom
N(E_F)	9.73	states/eV/cell

```
Ac8Te4RhS3
1.0
4.4868 2.5905 7.6439
-4.4868 2.5905 7.6439
0.0000 -5.1809 7.6439
Ac Te Rh S
8 4 1 3
Cartesian
0.0000 0.0000 5.4812 Ac
-2.1981 -1.2691 13.1116 Ac
0.0000 -2.5381 9.8201 Ac
-2.1981 1.2691 9.8201 Ac
2.1981 -1.2691 13.1116 Ac
0.0000 2.5381 13.1116 Ac
2.1981 1.2691 9.8201 Ac
0.0000 0.0000 17.4505 Ac
0.0000 0.0000 0.0000 Te
-2.2434 -1.2952 7.6439 Te
-2.2434 1.2952 15.2878 Te
0.0000 2.5905 7.6439 Te
0.0000 0.0000 11.4658 Rh
-4.4868 0.0000 11.4658 S
-2.2434 1.2952 3.8219 S
2.2434 1.2952 3.8219 S
```